DFT (GGA-PBE) results for an optimized crystal structure of LaCrAu2.

Geometry as POSCAR:
```
LaCrAu2
1.0
-4.132 2.120 -1.727
-3.912 0.596 2.982
-1.282 4.535 1.527
Cr Au La
1 2 1
Cartesian
-4.663 3.626 1.391 Cr
0.000 0.000 0.000 Au
-2.331 1.813 0.696 Au
-6.994 5.438 2.087 La
```

## Properties
- DFT formation energy: -160.0 meV/atom
- ΔE to the lowest computed polymorph: 190 meV/atom
- Symmetry: No. 216

***

DFT (GGA-PBE) results for an optimized crystal structure of Dy2Ho3TmTe6.

Geometry as POSCAR:
```
Dy2Ho3TmTe6
1.0
4.314 0.000 0.000
0.000 8.708 0.325
-2.157 -2.495 9.107
Dy Te Ho Tm
2 6 3 1
Cartesian
2.157 4.134 6.252 Dy
0.000 2.078 3.180 Dy
2.157 4.257 3.201 Te
2.157 -0.339 9.173 Te
0.000 6.551 0.259 Te
2.157 -0.117 3.024 Te
0.000 6.329 6.409 Te
0.000 1.955 6.231 Te
2.157 -0.198 6.076 Ho
0.000 6.410 3.356 Ho
2.157 4.354 0.163 Ho
2.157 0.000 0.000 Tm
```

## Properties
- Formation energy without anion corrections: -120.0 kJ per mole of atoms
- Symmetry: No. 12

***

DFT (GGA-PBE) results for an optimized crystal structure of SiMo2.

Geometry as POSCAR:
```
SiMo2
1.0
-0.279 1.460 2.804
1.602 -2.362 1.389
3.084 2.565 -2.824
Mo Si
2 1
Cartesian
1.900 0.248 1.856 Mo
2.507 1.415 -0.487 Mo
0.000 0.000 0.000 Si
```

## Properties
- Formation energy without anion corrections: -18.4 kJ per mole of atoms
- ΔE to the lowest computed polymorph: 136 meV/atom
- Symmetry: No. 139

***

no.,total DFT energy (no corrections) (eV/atom)
1,-5.436
2,-5.098
3,-9.219